Entry 1:
Here is a relaxed structure of Ni4Te8I from Alexandria. Energies are from PBE.

CIF file:
```
data_Ni4Te8I
_cell_length_a 16.9299
_cell_length_b 3.9100
_cell_length_c 11.7139
_cell_angle_alpha 90.00
_cell_angle_beta 124.58
_cell_angle_gamma 90.00
_symmetry_space_group_name_H-M 'C 1 2/m 1'
_symmetry_Int_Tables_number 12
loop_
_symmetry_equiv_pos_as_xyz
'x,y,z'
'-x,-y,-z'
'-x,y,-z'
'x,-y,z'
'x+1/2,y+1/2,z'
'-x+1/2,-y+1/2,-z'
'-x+1/2,y+1/2,-z'
'x+1/2,-y+1/2,z'
loop_
_atom_site_label
_atom_site_type_symbol
_atom_site_fract_x
_atom_site_fract_y
_atom_site_fract_z
Ni1 Ni 0.1363 0.0000 0.4552
Ni2 Ni 0.1556 0.5000 0.8244
Te1 Te 0.0371 0.0000 0.7688
Te2 Te 0.1050 0.5000 0.5695
Te3 Te 0.1823 0.5000 0.3514
Te4 Te 0.2226 0.5000 0.0928
I1 I 0.0000 0.0000 0.0000
```

Values from the calculation:
**Magnetic moment**: 0.00 μB/cell

=====

Entry 2:
Here is a relaxed structure of Ni3TeI from Alexandria. Energies are from PBE.

CIF file:
```
data_Ni3TeI
_cell_length_a 4.8200
_cell_length_b 4.8200
_cell_length_c 4.8200
_cell_angle_alpha 90.00
_cell_angle_beta 90.00
_cell_angle_gamma 90.00
_symmetry_space_group_name_H-M 'P m -3 m'
_symmetry_Int_Tables_number 221
_symmetry_space_group_name_Hall '-P 4 2 3'
loop_
_atom_site_label
_atom_site_type_symbol
_atom_site_fract_x
_atom_site_fract_y
_atom_site_fract_z
Ni1 Ni 0.0000 0.0000 0.5000
Te1 Te 0.0000 0.0000 0.0000
I1 I 0.5000 0.5000 0.5000
```

Values from the calculation:
**Magnetic moment**: 2.80 μB/cell

=====

Entry 3:
Here is a relaxed structure of NiTeI2 from Alexandria. Energies are from PBE.

CIF file:
```
data_NiTeI2
_cell_length_a 3.9709
_cell_length_b 3.9709
_cell_length_c 26.8538
_cell_angle_alpha 90.00
_cell_angle_beta 90.00
_cell_angle_gamma 120.00
_symmetry_space_group_name_H-M 'R -3 m'
_symmetry_Int_Tables_number 166
_symmetry_space_group_name_Hall '-R 3 2"'
loop_
_atom_site_label
_atom_site_type_symbol
_atom_site_fract_x
_atom_site_fract_y
_atom_site_fract_z
Ni1 Ni 0.0000 0.0000 0.0000
Te1 Te 0.0000 0.0000 0.5000
I1 I 0.0000 0.0000 0.3883
```

Values from the calculation:
**Magnetic moment**: 2.12 μB/cell

=====

Entry 4:
Here is a relaxed structure of NiTeI2 from Alexandria. Energies are from PBE.

CIF file:
```
data_NiTeI2
_cell_length_a 7.5193
_cell_length_b 7.5193
_cell_length_c 7.5193
_cell_angle_alpha 90.00
_cell_angle_beta 90.00
_cell_angle_gamma 90.00
_symmetry_space_group_name_H-M 'F m -3 m'
_symmetry_Int_Tables_number 225
_symmetry_space_group_name_Hall '-F 4 2 3'
loop_
_atom_site_label
_atom_site_type_symbol
_atom_site_fract_x
_atom_site_fract_y
_atom_site_fract_z
Ni1 Ni 0.0000 0.0000 0.0000
Te1 Te 0.0000 0.0000 0.5000
I1 I 0.2500 0.2500 0.2500
```

Values from the calculation:
**Magnetic moment**: 0.00 μB/cell

=====

Entry 5:
Here is a relaxed structure of Ni5Te3I12 from Alexandria. Energies are from PBE.

CIF file:
```
data_Ni5Te3I12
_cell_length_a 17.3501
_cell_length_b 17.3501
_cell_length_c 17.3501
_cell_angle_alpha 90.00
_cell_angle_beta 90.00
_cell_angle_gamma 90.00
_symmetry_space_group_name_H-M 'I a -3 d'
_symmetry_Int_Tables_number 230
_symmetry_space_group_name_Hall '-I 4bd 2c 3'
loop_
_atom_site_label
_atom_site_type_symbol
_atom_site_fract_x
_atom_site_fract_y
_atom_site_fract_z
Ni1 Ni 0.0000 0.0000 0.0000
Ni2 Ni 0.0000 0.2500 0.3750
Te1 Te 0.0000 0.2500 0.1250
I1 I 0.0275 0.0379 0.6507
```

Values from the calculation:
**Magnetic moment**: 24.59 μB/cell

=====

Entry 6:
Here is a relaxed structure of NiTeI2 from Alexandria. Energies are from PBE.

CIF file:
```
data_NiTeI2
_cell_length_a 7.2570
_cell_length_b 7.2570
_cell_length_c 9.7953
_cell_angle_alpha 90.00
_cell_angle_beta 90.00
_cell_angle_gamma 90.00
_symmetry_space_group_name_H-M 'I -4 2 d'
_symmetry_Int_Tables_number 122
_symmetry_space_group_name_Hall 'I -4 2bw'
loop_
_atom_site_label
_atom_site_type_symbol
_atom_site_fract_x
_atom_site_fract_y
_atom_site_fract_z
Ni1 Ni 0.0000 0.0000 0.0000
Te1 Te 0.0000 0.0000 0.5000
I1 I 0.1681 0.7500 0.1250
```

Values from the calculation:
**Magnetic moment**: 0.00 μB/cell

=====

Entry 7:
Here is a relaxed structure of TlNiTeI2 from Alexandria. Energies are from PBE.

CIF file:
```
data_TlNiTeI2
_cell_length_a 6.0375
_cell_length_b 6.0375
_cell_length_c 5.8593
_cell_angle_alpha 90.00
_cell_angle_beta 90.00
_cell_angle_gamma 90.00
_symmetry_space_group_name_H-M 'P 4/m m m'
_symmetry_Int_Tables_number 123
_symmetry_space_group_name_Hall '-P 4 2'
loop_
_atom_site_label
_atom_site_type_symbol
_atom_site_fract_x
_atom_site_fract_y
_atom_site_fract_z
Tl1 Tl 0.0000 0.0000 0.0000
Ni1 Ni 0.5000 0.5000 0.5000
Te1 Te 0.0000 0.0000 0.5000
I1 I 0.0000 0.5000 0.0000
```

Values from the calculation:
**Magnetic moment**: 1.55 μB/cell

=====

Entry 8:
Here is a relaxed structure of TlNiTeI2 from Alexandria. Energies are from PBE.

CIF file:
```
data_TlNiTeI2
_cell_length_a 5.5653
_cell_length_b 5.5653
_cell_length_c 5.0273
_cell_angle_alpha 90.00
_cell_angle_beta 90.00
_cell_angle_gamma 90.00
_symmetry_space_group_name_H-M 'P 4/m m m'
_symmetry_Int_Tables_number 123
_symmetry_space_group_name_Hall '-P 4 2'
loop_
_atom_site_label
_atom_site_type_symbol
_atom_site_fract_x
_atom_site_fract_y
_atom_site_fract_z
Tl1 Tl 0.0000 0.0000 0.0000
Ni1 Ni 0.5000 0.5000 0.5000
Te1 Te 0.5000 0.5000 0.0000
I1 I 0.0000 0.5000 0.5000
```

Values from the calculation:
**Magnetic moment**: 0.31 μB/cell

=====

| no. | energy (eV/atom) |
| --- | --- |
| 1 | -4.01 |
| 2 | -3.69 |
| 3 | -2.81 |
| 4 | -2.17 |
| 5 | -2.68 |
| 6 | -2.66 |
| 7 | -2.02 |
| 8 | -2.94 |